No. 1
BaAgAsO after structural relaxation. Source: OQMD, functional PBE-GGA.

abc: 4.6109 4.6109 8.6976
angles: 90.00 90.00 90.00
Last column: nearest neighbours and their distance in Å.
Sites, in units of the cell vectors:
Ba 0.2500 0.2500 0.1312  4 O 2.57
Ba 0.7500 0.7500 0.8688  4 O 2.57
Ag 0.2500 0.7500 0.5000  4 As 2.63
Ag 0.7500 0.2500 0.5000  4 As 2.63
As 0.2500 0.2500 0.6464  4 Ag 2.63
As 0.7500 0.7500 0.3536  4 Ag 2.63
O 0.2500 0.7500 0.0000  4 Ba 2.57
O 0.7500 0.2500 0.0000  4 Ba 2.57

## Properties
Crystal system = tetragonal
Distance to the lowest polymorph of the same formula = 10 kJ/mol of formula units

No. 2
BaAgAsO after structural relaxation. Source: OQMD, functional PBE-GGA.

abc: 4.4182 7.9911 5.2044
angles: 90.00 90.00 90.00
Last column: nearest neighbours and their distance in Å.
Sites, in units of the cell vectors:
Ba 0.0000 0.1999 0.0000  3 O 2.55-2.68
Ba 0.0000 0.8001 0.5000  3 O 2.55-2.68
Ag 0.5000 0.1841 0.4997  2 O 2.27
Ag 0.5000 0.8159 0.9997  2 O 2.27
As 0.5000 0.5000 0.2453  2 As 2.60, 2 Ag 2.83-2.85
As 0.5000 0.5000 0.7453  2 As 2.60, 2 Ag 2.83-2.85
O 0.0000 0.1191 0.5003  2 Ag 2.27
O 0.0000 0.8809 0.0003  2 Ag 2.27

## Properties
Crystal system = orthorhombic
Distance to the lowest polymorph of the same formula = 46 kJ/mol of formula units

No. 3
BaAgAsO after structural relaxation. Source: OQMD, functional PBE-GGA.

abc: 5.9522 5.9522 5.1026
angles: 90.00 90.00 90.00
Last column: nearest neighbours and their distance in Å.
Sites, in units of the cell vectors:
Ba 0.2500 0.7500 0.0000  2 O 2.55
Ba 0.7500 0.2500 0.0000  2 O 2.55
Ag 0.2500 0.2500 0.4988  2 As 2.55
Ag 0.7500 0.7500 0.5012  2 As 2.55
As 0.2500 0.2500 0.9990  2 Ag 2.55
As 0.7500 0.7500 0.0010  2 Ag 2.55
O 0.2500 0.7500 0.5000  2 Ba 2.55
O 0.7500 0.2500 0.5000  2 Ba 2.55

## Properties
Crystal system = tetragonal
Distance to the lowest polymorph of the same formula = 288 kJ/mol of formula units

No. 4
BaAg2As2Pb after structural relaxation. Source: OQMD, functional PBE-GGA.

abc: 4.6053 4.6053 8.4289
angles: 90.00 90.00 120.00
Last column: nearest neighbours and their distance in Å.
Sites, in units of the cell vectors:
Ba 0.0000 0.0000 0.0000  6 As 3.40-3.41, 6 Ag 3.60
Ag 0.3333 0.6667 0.7127  3 As 2.67
Ag 0.6667 0.3333 0.2882  3 As 2.68
As 0.3333 0.6667 0.2505  3 Ag 2.68
As 0.6667 0.3333 0.7470  3 Ag 2.67
Pb 0.0000 0.0000 0.4993  6 Ag 3.20-3.21, 6 As 3.38-3.39

## Properties
Crystal system = trigonal

No. 5
Ba2Ag2SbAs after structural relaxation. Source: OQMD, functional PBE-GGA.

abc: 4.7908 4.7908 9.1604
angles: 90.00 90.00 120.00
Last column: nearest neighbours and their distance in Å.
Sites, in units of the cell vectors:
Ba 0.0000 0.0000 0.0000  3 As 3.52, 6 Ag 3.55-3.63, 3 Sb 3.66
Ba 0.0000 0.0000 0.4815  6 Ag 3.53-3.66, 3 As 3.55, 3 Sb 3.63
Ag 0.3333 0.6667 0.2421  3 As 2.77
Ag 0.6667 0.3333 0.7428  3 Sb 2.77
Sb 0.3333 0.6667 0.7385  3 Ag 2.77
As 0.6667 0.3333 0.2385  3 Ag 2.77

## Properties
Crystal system = trigonal

No. 6
Ba2Ag2SbAs after structural relaxation. Source: OQMD, functional PBE-GGA.

abc: 4.7712 4.7712 9.1490
angles: 90.00 90.00 120.00
Last column: nearest neighbours and their distance in Å.
Sites, in units of the cell vectors:
Ba 0.0000 0.0000 0.2412  3 As 3.53, 6 Ag 3.53-3.63, 3 Sb 3.63
Ba 0.0000 0.0000 0.7588  3 As 3.53, 6 Ag 3.53-3.63, 3 Sb 3.63
Ag 0.3333 0.6667 0.0000  3 As 2.75
Ag 0.6667 0.3333 0.5000  3 Sb 2.75
Sb 0.3333 0.6667 0.5000  3 Ag 2.75
As 0.6667 0.3333 0.0000  3 Ag 2.75

## Properties
Crystal system = hexagonal

How do the records compare in final energy? In the order shown, they have -4.55 -4.46 -3.83 -3.83 -3.83 -3.83 eV/atom.